InPt2Au PBE optimized geometry; theoretical density = 16.507 g/cm3; size of the total moment = 0.000 μB/f.u.; energy of formation from the pure elements = -79.8 meV/atom
1.0
-8.3880 3.3882 -1.1235
-9.0162 1.1117 0.7569
-8.0911 3.7665 1.8567
In Pt Au
1 2 1
direct
0.7500 0.7500 0.7500
0.0021 0.0021 0.0021
0.4979 0.4979 0.4979
0.2500 0.2500 0.2500